# 1
GGA-PBE KNb3Hg, relaxed; excess energy over the best structure of this formula in the dataset = 461 meV per atom; calculated formation energy = 2472 meV/atom; space-group type = Pm-3m
1.0
-2.128 3.508 -2.203
-3.436 -2.878 -1.264
-2.313 1.048 3.903
Hg Nb K
1 3 1
Cartesian
-3.938 0.839 0.218
-1.064 1.754 -1.101
-1.157 0.524 1.951
-1.718 -1.439 -0.632
0.000 0.000 0.000



# 2
GGA-PBE Rb3Si23, relaxed; raw total energy = -255.4 eV per cell; space-group type = Pm-3n
1.0
-8.167 6.310 -0.363
-6.139 -8.060 -1.997
-1.503 -1.363 10.125
Si Rb
46 6
Cartesian
-5.356 -6.727 3.565
-7.391 -2.722 7.009
-4.459 2.814 2.350
-9.020 2.552 7.598
-4.995 -0.984 2.454
-3.811 0.720 8.811
-10.814 -2.130 5.312
-3.860 -1.435 7.827
-1.188 -1.373 2.846
-5.867 -7.517 1.324
-11.949 -1.679 -0.062
-9.661 1.323 4.010
-4.688 -2.520 4.231
-9.333 -1.222 6.923
-11.121 -0.594 3.535
-6.148 -4.436 3.756
-9.595 -3.849 2.071
-8.070 3.414 1.200
-5.548 -1.486 6.181
-6.454 -8.050 5.283
-6.789 -5.666 0.168
-5.859 4.226 0.952
-7.808 -4.453 5.446
-9.194 0.702 -1.270
-7.005 3.187 8.669
-2.910 -0.573 1.429
-2.286 -2.697 4.563
-9.952 -4.173 4.479
-5.111 -2.453 -1.089
-2.840 -1.704 -0.651
-10.261 -1.628 1.585
-6.476 -1.892 0.843
-8.554 0.837 6.047
-9.065 3.105 -0.928
-5.241 -4.856 -1.432
-7.254 -3.951 1.718
-8.418 -0.392 0.757
-8.001 1.339 2.320
-5.856 1.059 3.287
-5.211 2.132 7.413
-12.899 -2.541 6.336
-11.465 -0.046 -1.708
-7.739 -6.528 6.566
-1.775 -1.907 6.805
-6.214 0.735 5.695
-2.665 1.759 1.093
-3.445 -4.371 1.533
-2.793 0.896 4.972
-4.197 -5.053 6.596
-8.687 -2.890 -1.679
-6.877 4.051 4.791
-5.618 1.140 -0.681



| no. | volume (Å³ per atom) | magnetic moment (μB/cell) |
| --- | --- | --- |
| 1 | 20.19 | 0.000 |
| 2 | 21.18 | 0.000 |